No. 1
Here is a relaxed LaSbIr2 crystal from Alexandria via LeMat-Bulk. Energies are from GGA-PBE.

Output
SG: R3m (160)
E_form (uncorrected): -0.53 eV/atom

CIF file:
```
data_LaSbIr2
_space_group_name_H-M_alt 'P 1'
_space_group_IT_number 1
_cell_length_a 4.4200
_cell_length_b 4.4200
_cell_length_c 6.1105
_cell_angle_alpha 68.79
_cell_angle_beta 68.79
_cell_angle_gamma 60.02
loop_
_space_group_symop_operation_xyz
'x,y,z'
loop_
_atom_site_label
_atom_site_type_symbol
_atom_site_fract_x
_atom_site_fract_y
_atom_site_fract_z
Sb1 Sb 0.2858 0.2858 0.1422
Ir1 Ir 0.0315 0.0315 0.9056
Ir2 Ir 0.6996 0.6996 0.9011
La1 La 0.4830 0.4830 0.5512
```

=====

No. 2
Here is a relaxed NdPd3Au crystal from Alexandria via LeMat-Bulk. Energies are from GGA-PBE.

Output
energy above the lowest structure with this stoichiometry: 356 meV per atom
SG: I-4m2 (119)
DFT formation energy: -0.8 eV per formula unit

CIF file:
```
data_NdPd3Au
_space_group_name_H-M_alt 'P 1'
_space_group_IT_number 1
_cell_length_a 5.2257
_cell_length_b 5.2257
_cell_length_c 9.9859
_cell_angle_alpha 105.17
_cell_angle_beta 105.17
_cell_angle_gamma 90.00
loop_
_space_group_symop_operation_xyz
'x,y,z'
loop_
_atom_site_label
_atom_site_type_symbol
_atom_site_fract_x
_atom_site_fract_y
_atom_site_fract_z
Au1 Au 0.0000 0.0000 0.0000
Au2 Au 0.2500 0.7500 0.5000
Nd1 Nd 0.8583 0.3583 0.7167
Nd2 Nd 0.6417 0.1417 0.2833
Pd1 Pd 0.7356 0.7356 0.4713
Pd2 Pd 0.1293 0.8758 0.7516
Pd3 Pd 0.2644 0.2644 0.5287
Pd4 Pd 0.6223 0.8758 0.7516
Pd5 Pd 0.1242 0.3777 0.2484
Pd6 Pd 0.1242 0.8707 0.2484
```

=====

No. 3
Here is a relaxed BaLiSb2Te crystal from Alexandria via LeMat-Bulk. Energies are from GGA-PBE.

Output
energy above the lowest structure with this stoichiometry: 915 meV per atom
SG: P4/mmm (123)
E_form (uncorrected): 0.46 eV/atom

CIF file:
```
data_BaLiSb2Te
_space_group_name_H-M_alt 'P 1'
_space_group_IT_number 1
_cell_length_a 6.3510
_cell_length_b 6.3510
_cell_length_c 6.4624
_cell_angle_alpha 90.00
_cell_angle_beta 90.00
_cell_angle_gamma 90.00
loop_
_space_group_symop_operation_xyz
'x,y,z'
loop_
_atom_site_label
_atom_site_type_symbol
_atom_site_fract_x
_atom_site_fract_y
_atom_site_fract_z
Li1 Li 0.5000 0.5000 0.5000
Sb1 Sb 0.0000 0.5000 0.0000
Sb2 Sb 0.5000 0.0000 0.0000
Te1 Te 0.0000 0.0000 0.5000
Ba1 Ba 0.0000 0.0000 0.0000
```

=====

No. 4
Here is a relaxed HfSbPdI2 crystal from Alexandria via LeMat-Bulk. Energies are from GGA-PBE.

Output
energy above the lowest structure with this stoichiometry: 0 meV per atom
SG: P4/mmm (123)
E_form (uncorrected): 0.39 eV/atom

CIF file:
```
data_HfSbPdI2
_space_group_name_H-M_alt 'P 1'
_space_group_IT_number 1
_cell_length_a 5.5867
_cell_length_b 5.5867
_cell_length_c 5.6361
_cell_angle_alpha 90.00
_cell_angle_beta 90.00
_cell_angle_gamma 90.00
loop_
_space_group_symop_operation_xyz
'x,y,z'
loop_
_atom_site_label
_atom_site_type_symbol
_atom_site_fract_x
_atom_site_fract_y
_atom_site_fract_z
Pd1 Pd 0.5000 0.5000 0.5000
I1 I 0.5000 0.0000 0.0000
I2 I 0.0000 0.5000 0.0000
Sb1 Sb 0.0000 0.0000 0.5000
Hf1 Hf 0.0000 0.0000 0.0000
```

=====

No. 5
Here is a relaxed Ce3DyPu2Se6 crystal from Alexandria via LeMat-Bulk. Energies are from GGA-PBE.

Output
SG: C2/m (12)
E_form (uncorrected): -1.72 eV/atom

CIF file:
```
data_Ce3DyPu2Se6
_space_group_name_H-M_alt 'P 1'
_space_group_IT_number 1
_cell_length_a 7.1968
_cell_length_b 7.1968
_cell_length_c 7.2403
_cell_angle_alpha 99.53
_cell_angle_beta 99.53
_cell_angle_gamma 120.03
loop_
_space_group_symop_operation_xyz
'x,y,z'
loop_
_atom_site_label
_atom_site_type_symbol
_atom_site_fract_x
_atom_site_fract_y
_atom_site_fract_z
Se1 Se 0.9197 0.5887 0.7588
Se2 Se 0.2497 0.2497 0.7567
Se3 Se 0.7503 0.7503 0.2433
Se4 Se 0.5887 0.9197 0.7588
Se5 Se 0.4113 0.0803 0.2412
Se6 Se 0.0803 0.4113 0.2412
Ce1 Ce 0.1678 0.8322 0.5000
Ce2 Ce 0.5000 0.5000 0.5000
Ce3 Ce 0.8322 0.1678 0.5000
Pu1 Pu 0.6663 0.3337 0.0000
Pu2 Pu 0.3337 0.6663 0.0000
Dy1 Dy 0.0000 0.0000 0.0000
```

=====

No. 6
Here is a relaxed YIn2I8 crystal from Alexandria via LeMat-Bulk. Energies are from GGA-PBE.

Output
SG: C2/m (12)
E_form (uncorrected): -0.75 eV/atom

CIF file:
```
data_YIn2I8
_space_group_name_H-M_alt 'P 1'
_space_group_IT_number 1
_cell_length_a 7.4724
_cell_length_b 9.1159
_cell_length_c 9.1159
_cell_angle_alpha 78.35
_cell_angle_beta 81.84
_cell_angle_gamma 81.84
loop_
_space_group_symop_operation_xyz
'x,y,z'
loop_
_atom_site_label
_atom_site_type_symbol
_atom_site_fract_x
_atom_site_fract_y
_atom_site_fract_z
I1 I 0.7846 0.7303 0.0985
I2 I 0.2154 0.2697 0.9015
I3 I 0.2154 0.9015 0.2697
I4 I 0.8414 0.6090 0.6090
I5 I 0.7846 0.0985 0.7303
I6 I 0.7318 0.1937 0.1937
I7 I 0.1586 0.3910 0.3910
I8 I 0.2682 0.8063 0.8063
In1 In 0.6628 0.7986 0.7986
In2 In 0.3372 0.2014 0.2014
Y1 Y 0.0000 0.0000 0.0000
```

=====

no.,final energy (eV per cell)
1,-28.9
2,-48.9
3,-12.9
4,-20.4
5,-92.6
6,-32.6